[1]
VASP calculation (PBEsol) on an optimized crystal structure of Ti3P6WO24.

Summary:
Calculated total energy (eV per atom): -8.33
V (Å³/atom): 13.7

Geometry as extended XYZ:
```
34
Lattice="-3.4223 -5.0747 -5.9778 -5.8509 -5.8455 2.1896 -8.4138 1.2682 -2.3822" Properties=species:S:1:pos:R:3 pbc="T T T"
O -5.9820 -4.8071 -6.0502
O -8.2215 -5.7940 -6.5033
O -11.1323 -4.5453 -4.2273
O -9.2809 -2.5152 -4.1297
O -6.4133 -2.6901 -1.4918
O -10.5319 -3.3466 -1.8270
O -10.2340 -8.7007 -2.9050
O -10.6357 -7.1559 -0.9955
O -7.4955 -0.9624 -3.2647
O -3.3135 -3.3715 -2.9191
O -10.8938 -5.4046 -6.5835
O -13.1274 -5.4581 -5.4994
O -6.7985 -4.2124 0.4391
O -12.8958 -8.3329 -3.0119
O -8.4053 -7.2075 -2.1026
O -4.5533 -4.1895 -0.6108
O -12.8825 -8.9141 -5.6236
O -6.5583 -5.1491 -1.8593
O -14.9404 -7.4639 -5.6735
O -11.7080 -4.8219 -0.1575
O -14.4003 -6.3306 -3.2725
O -2.7024 -2.1641 -0.5309
O -11.2970 -6.9785 -4.6757
O -7.0683 -6.2697 -4.3476
P -6.8865 -6.0990 -5.8519
P -9.5775 -8.0502 -1.6119
P -6.0302 -4.0507 -0.9429
P -8.1309 -1.5815 -4.5010
P -10.8480 -3.5816 -0.3516
P -11.6323 -5.5518 -5.2612
Ti -11.0913 -2.7532 -3.5580
Ti -6.5813 -6.9121 -2.6094
Ti -6.1656 -0.8049 -1.9094
W -11.5362 -8.8334 -4.2641
```

***

[2]
VASP calculation (PBEsol) on an optimized crystal structure of Fe3CuPd.

Summary:
Energy of formation from the pure elements (meV/atom): 1583
V (Å³/atom): 18.5

Geometry as extended XYZ:
```
5
Lattice="4.5219 0.0000 0.0000 0.0000 4.5219 0.0000 0.0000 0.0000 4.5219" Properties=species:S:1:pos:R:3 pbc="T T T"
Fe 2.2610 0.0000 0.0000
Fe 0.0000 2.2610 0.0000
Fe 0.0000 0.0000 2.2610
Cu 2.2610 2.2610 2.2610
Pd 0.0000 0.0000 0.0000
```

***

[3]
VASP calculation (PBEsol) on an optimized crystal structure of Te2HS.

Summary:
Relative energy among the computed polymorphs (meV/atom): 0
V (Å³/atom): 20.2

Geometry as extended XYZ:
```
4
Lattice="-0.1098 -1.9937 2.7391 -0.2409 -3.3619 -0.3593 7.9781 -2.3556 0.7026" Properties=species:S:1:pos:R:3 pbc="T T T"
H 0.0000 0.0000 0.0000
S 3.8137 -3.8556 1.5412
Te 1.6122 -5.4939 2.3578
Te 6.0152 -2.2173 0.7246
```